Record 1
A relaxed structure of In2FeHgPt. Source: Alexandria via LeMat-Bulk, functional GGA-PBE.

Output
Total moment in μB per cell: 0.00
E in eV per cell: -18.347
Symmetry: No. 123

a b c (Å): 5.061 5.061 4.578
angles (deg): 90.00 90.00 90.00
Positions (direct):
In 0.000 0.500 0.000
In 0.500 0.000 0.000
Fe 0.000 0.000 0.000
Hg 0.500 0.500 0.500
Pt 0.000 0.000 0.500

Record 2
A relaxed structure of InFeSn2Hg. Source: Alexandria via LeMat-Bulk, functional GGA-PBE.

Output
Total moment in μB per cell: 1.23
Symmetry: No. 123
Energy above the most stable polymorph in this dataset in meV per atom: 116

a b c (Å): 4.943 4.943 5.234
angles (deg): 90.00 90.00 90.00
Positions (direct):
In 0.000 0.000 0.000
Fe 0.500 0.500 0.500
Sn 0.000 0.500 0.500
Sn 0.500 0.000 0.500
Hg 0.500 0.500 0.000

Record 3
A relaxed structure of In2FeSnHg. Source: Alexandria via LeMat-Bulk, functional GGA-PBE.

Output
Total moment in μB per cell: 0.00
E in eV per cell: -17.931
Symmetry: No. 123

a b c (Å): 5.076 5.076 4.892
angles (deg): 90.00 90.00 90.00
Positions (direct):
In 0.000 0.500 0.000
In 0.500 0.000 0.000
Fe 0.000 0.000 0.000
Sn 0.000 0.000 0.500
Hg 0.500 0.500 0.500

Record 4
A relaxed structure of InFeSn2Hg. Source: Alexandria via LeMat-Bulk, functional GGA-PBE.

Output
Total moment in μB per cell: 0.97
Symmetry: No. 123
Energy above the most stable polymorph in this dataset in meV per atom: 0

a b c (Å): 4.953 4.953 5.100
angles (deg): 90.00 90.00 90.00
Positions (direct):
In 0.000 0.000 0.000
Fe 0.000 0.000 0.500
Sn 0.000 0.500 0.500
Sn 0.500 0.000 0.500
Hg 0.500 0.500 0.000

Record 5
A relaxed structure of FeHgIr2. Source: Alexandria via LeMat-Bulk, functional GGA-PBE.

Output
Total moment in μB per cell: 3.76
E in eV per cell: -24.934
Symmetry: No. 139

a b c (Å): 4.802 4.802 4.802
angles (deg): 130.71 130.71 72.28
Positions (direct):
Fe 0.000 0.000 0.000
Hg 0.500 0.500 0.000
Ir 0.250 0.750 0.500
Ir 0.750 0.250 0.500

Record 6
A relaxed structure of FeHgIr2. Source: Alexandria via LeMat-Bulk, functional GGA-PBE.

Output
Total moment in μB per cell: 3.82
E in eV per cell: -25.160
Symmetry: No. 65

a b c (Å): 2.790 2.790 9.295
angles (deg): 90.00 90.00 118.40
Positions (direct):
Fe 0.000 0.000 0.000
Hg 0.000 0.000 0.500
Ir 0.500 0.500 0.222
Ir 0.500 0.500 0.778

Record 7
A relaxed structure of FeHgIr2. Source: Alexandria via LeMat-Bulk, functional GGA-PBE.

Output
Total moment in μB per cell: 3.01
E in eV per cell: -24.752
Symmetry: No. 119

a b c (Å): 4.853 4.853 4.853
angles (deg): 131.90 131.90 70.39
Positions (direct):
Fe 0.000 0.000 0.000
Hg 0.250 0.750 0.500
Ir 0.500 0.500 0.000
Ir 0.750 0.250 0.500

Record 8
A relaxed structure of FeHgIr2. Source: Alexandria via LeMat-Bulk, functional GGA-PBE.

Output
Total moment in μB per cell: 3.71
E in eV per cell: -24.722
Symmetry: No. 12

a b c (Å): 5.425 5.425 2.797
angles (deg): 104.55 104.55 118.50
Positions (direct):
Fe 0.000 0.000 0.000
Hg 0.500 0.500 0.000
Ir 0.000 0.500 0.500
Ir 0.500 0.000 0.500

Record 9
A relaxed structure of FeHgIr2. Source: Alexandria via LeMat-Bulk, functional GGA-PBE.

Output
Total moment in μB per cell: 2.23
E in eV per cell: -25.522
Symmetry: No. 123

a b c (Å): 2.821 2.821 7.707
angles (deg): 90.00 90.00 90.00
Positions (direct):
Fe 0.000 0.000 0.000
Hg 0.000 0.000 0.500
Ir 0.500 0.500 0.209
Ir 0.500 0.500 0.791

Record 10
A relaxed structure of FeHgIr2. Source: Alexandria via LeMat-Bulk, functional GGA-PBE.

Output
Total moment in μB per cell: 3.84
E in eV per cell: -25.027
Symmetry: No. 10

a b c (Å): 2.812 4.278 5.437
angles (deg): 90.00 104.98 90.00
Positions (direct):
Fe 0.000 0.000 0.000
Hg 0.000 0.000 0.500
Ir 0.374 0.500 0.222
Ir 0.626 0.500 0.778

Record 11
A relaxed structure of FeHgIr2. Source: Alexandria via LeMat-Bulk, functional GGA-PBE.

Output
Total moment in μB per cell: 4.03
E in eV per cell: -24.577
Symmetry: No. 65

a b c (Å): 4.754 4.754 2.900
angles (deg): 90.00 90.00 106.72
Positions (direct):
Fe 0.000 0.000 0.000
Hg 0.500 0.500 0.000
Ir 0.000 0.500 0.500
Ir 0.500 0.000 0.500

Record 12
A relaxed structure of FeHgIr. Source: Alexandria via LeMat-Bulk, functional GGA-PBE.

Output
Total moment in μB per cell: 3.15
Symmetry: No. 42
Energy above the most stable polymorph in this dataset in meV per atom: 150

a b c (Å): 7.393 7.143 2.805
angles (deg): 83.95 73.88 22.17
Positions (direct):
Fe 0.000 0.000 0.000
Hg 0.672 0.672 0.328
Ir 0.355 0.355 0.645

Record 13
A relaxed structure of Fe2Hg2Ir. Source: Alexandria via LeMat-Bulk, functional GGA-PBE.

Output
Total moment in μB per cell: 7.08
E in eV per cell: -21.887
Symmetry: No. 139

a b c (Å): 6.970 6.970 6.970
angles (deg): 148.45 148.45 45.22
Positions (direct):
Fe 0.083 0.083 0.000
Fe 0.917 0.917 0.000
Hg 0.250 0.750 0.500
Hg 0.750 0.250 0.500
Ir 0.500 0.500 0.000

Record 14
A relaxed structure of FeHgIr4. Source: Alexandria via LeMat-Bulk, functional GGA-PBE.

Output
Total moment in μB per cell: 5.06
E in eV per cell: -40.983
Symmetry: No. 216

a b c (Å): 5.216 5.216 5.216
angles (deg): 60.00 60.00 60.00
Positions (direct):
Fe 0.000 0.000 0.000
Hg 0.750 0.750 0.750
Ir 0.375 0.375 0.375
Ir 0.375 0.375 0.876
Ir 0.375 0.876 0.375
Ir 0.876 0.375 0.375

Record 15
A relaxed structure of FeHgIr2. Source: Alexandria via LeMat-Bulk, functional GGA-PBE.

Output
Total moment in μB per cell: 3.54
E in eV per cell: -24.258
Symmetry: No. 216

a b c (Å): 4.466 4.466 4.466
angles (deg): 60.00 60.00 60.00
Positions (direct):
Fe 0.000 0.000 0.000
Hg 0.250 0.250 0.250
Ir 0.500 0.500 0.500
Ir 0.750 0.750 0.750

Record 16
A relaxed structure of FeHgIr. Source: Alexandria via LeMat-Bulk, functional GGA-PBE.

Output
Total moment in μB per cell: 3.61
Symmetry: No. 216
Energy above the most stable polymorph in this dataset in meV per atom: 308

a b c (Å): 4.240 4.240 4.240
angles (deg): 60.00 60.00 60.00
Positions (direct):
Fe 0.000 0.000 0.000
Hg 0.250 0.250 0.250
Ir 0.750 0.750 0.750

Record 17
A relaxed structure of FeHgIr2. Source: Alexandria via LeMat-Bulk, functional GGA-PBE.

Output
Total moment in μB per cell: 3.61
E in eV per cell: -24.606
Symmetry: No. 47

a b c (Å): 2.849 4.644 4.752
angles (deg): 90.00 90.00 90.00
Positions (direct):
Fe 0.000 0.000 0.000
Hg 0.500 0.000 0.500
Ir 0.000 0.500 0.500
Ir 0.500 0.500 0.000

Record 18
A relaxed structure of FeHgIr2. Source: Alexandria via LeMat-Bulk, functional GGA-PBE.

Output
Total moment in μB per cell: 3.23
E in eV per cell: -25.218
Symmetry: No. 25

a b c (Å): 2.784 3.828 5.903
angles (deg): 90.00 90.00 90.00
Positions (direct):
Fe 0.000 0.000 0.000
Hg 0.500 0.500 0.284
Ir 0.000 0.000 0.571
Ir 0.500 0.500 0.803

Record 19
A relaxed structure of FeHgIr. Source: Alexandria via LeMat-Bulk, functional GGA-PBE.

Output
Total moment in μB per cell: 3.00
Symmetry: No. 156
Energy above the most stable polymorph in this dataset in meV per atom: 56

a b c (Å): 2.848 2.848 6.803
angles (deg): 90.00 90.00 120.00
Positions (direct):
Fe 0.000 0.000 0.000
Hg 0.667 0.333 0.342
Ir 0.333 0.667 0.709

Record 20
A relaxed structure of FeHgIr2. Source: Alexandria via LeMat-Bulk, functional GGA-PBE.

Output
Total moment in μB per cell: 3.26
E in eV per cell: -25.483
Symmetry: No. 166

a b c (Å): 9.190 9.190 9.190
angles (deg): 17.65 17.65 17.65
Positions (direct):
Fe 0.000 0.000 0.000
Hg 0.500 0.500 0.500
Ir 0.260 0.260 0.260
Ir 0.740 0.740 0.740

Record 21
A relaxed structure of FeHgIr2. Source: Alexandria via LeMat-Bulk, functional GGA-PBE.

Output
Total moment in μB per cell: 3.44
E in eV per cell: -24.580
Symmetry: No. 44

a b c (Å): 5.420 5.420 5.420
angles (deg): 148.97 128.98 60.92
Positions (direct):
Fe 0.000 0.000 0.000
Hg 0.259 0.759 0.500
Ir 0.530 0.530 0.000
Ir 0.775 0.275 0.500

Record 22
A relaxed structure of FeHgIr2. Source: Alexandria via LeMat-Bulk, functional GGA-PBE.

Output
Total moment in μB per cell: 0.00
E in eV per cell: -46.831
Symmetry: No. 122

a b c (Å): 5.688 5.688 5.688
angles (deg): 101.82 101.82 126.18
Positions (direct):
Fe 0.000 0.000 0.000
Fe 0.750 0.250 0.500
Hg 0.250 0.750 0.500
Hg 0.500 0.500 0.000
Ir 0.068 0.625 0.943
Ir 0.375 0.318 0.443
Ir 0.682 0.125 0.057
Ir 0.875 0.932 0.557

Record 23
A relaxed structure of FeHgIr. Source: Alexandria via LeMat-Bulk, functional GGA-PBE.

Output
Total moment in μB per cell: 3.21
Symmetry: No. 107
Energy above the most stable polymorph in this dataset in meV per atom: 0

a b c (Å): 5.946 5.946 5.946
angles (deg): 151.40 151.40 40.89
Positions (direct):
Fe 0.000 0.000 0.000
Hg 0.679 0.679 0.000
Ir 0.370 0.370 0.000

Record 24
A relaxed structure of FeHgIr2. Source: Alexandria via LeMat-Bulk, functional GGA-PBE.

Output
Total moment in μB per cell: 2.81
E in eV per cell: -24.673
Symmetry: No. 35

a b c (Å): 2.788 2.788 9.427
angles (deg): 90.00 90.00 119.98
Positions (direct):
Fe 0.000 0.000 0.000
Hg 0.500 0.500 0.740
Ir 0.000 0.000 0.469
Ir 0.500 0.500 0.225

Record 25
A relaxed structure of FeHgIr3. Source: Alexandria via LeMat-Bulk, functional GGA-PBE.

Output
Total moment in μB per cell: 0.00
Symmetry: No. 221
Energy above the most stable polymorph in this dataset in meV per atom: 0

a b c (Å): 4.498 4.498 4.498
angles (deg): 90.00 90.00 90.00
Positions (direct):
Fe 0.000 0.000 0.000
Hg 0.500 0.500 0.500
Ir 0.000 0.000 0.500
Ir 0.000 0.500 0.000
Ir 0.500 0.000 0.000

Record 26
A relaxed structure of FeHgIr2. Source: Alexandria via LeMat-Bulk, functional GGA-PBE.

Output
Total moment in μB per cell: 4.41
E in eV per cell: -24.764
Symmetry: No. 123

a b c (Å): 4.046 4.046 3.824
angles (deg): 90.00 90.00 90.00
Positions (direct):
Fe 0.000 0.000 0.000
Hg 0.500 0.500 0.000
Ir 0.000 0.500 0.500
Ir 0.500 0.000 0.500

Record 27
A relaxed structure of FeHgIr2. Source: Alexandria via LeMat-Bulk, functional GGA-PBE.

Output
Total moment in μB per cell: 2.40
E in eV per cell: -25.408
Symmetry: No. 99

a b c (Å): 2.801 2.801 7.924
angles (deg): 90.00 90.00 90.00
Positions (direct):
Fe 0.000 0.000 0.000
Hg 0.500 0.500 0.266
Ir 0.000 0.000 0.549
Ir 0.500 0.500 0.781

Record 28
A relaxed structure of FeHgIr2. Source: Alexandria via LeMat-Bulk, functional GGA-PBE.

Output
Total moment in μB per cell: 3.08
E in eV per cell: -24.995
Symmetry: No. 8

a b c (Å): 4.773 4.773 4.960
angles (deg): 99.79 99.79 34.49
Positions (direct):
Fe 0.000 0.000 0.000
Hg 0.242 0.242 0.737
Ir 0.482 0.482 0.436
Ir 0.741 0.741 0.233

Record 29
A relaxed structure of Fe3HgIr. Source: Alexandria via LeMat-Bulk, functional GGA-PBE.

Output
Total moment in μB per cell: 10.23
Symmetry: No. 221
Energy above the most stable polymorph in this dataset in meV per atom: 0

a b c (Å): 4.695 4.695 4.695
angles (deg): 90.00 90.00 90.00
Positions (direct):
Fe 0.000 0.000 0.500
Fe 0.000 0.500 0.000
Fe 0.500 0.000 0.000
Hg 0.500 0.500 0.500
Ir 0.000 0.000 0.000

Record 30
A relaxed structure of LiFeHgIr2. Source: Alexandria via LeMat-Bulk, functional GGA-PBE.

Output
Total moment in μB per cell: 0.00
E in eV per cell: -24.172
Symmetry: No. 123

a b c (Å): 4.456 4.456 4.393
angles (deg): 90.00 90.00 90.00
Positions (direct):
Li 0.000 0.000 0.000
Fe 0.000 0.000 0.500
Hg 0.500 0.500 0.000
Ir 0.000 0.500 0.500
Ir 0.500 0.000 0.500